1.
ZrCoNiPt | PBE-GGA | optimized geometry

Structure (POSCAR):
```
ZrCoNiPt
1.0
0.000 3.073 3.073
3.073 0.000 3.073
3.073 3.073 0.000
Zr Co Ni Pt
1 1 1 1
direct
0.000 0.000 0.000
0.750 0.750 0.750
0.250 0.250 0.250
0.500 0.500 0.500
```

Magnetic moment, μB per formula unit: 0.71
Energy of formation, eV per atom: -0.40

=====

2.
ZrCoNiPt2 | PBE-GGA | optimized geometry

Structure (POSCAR):
```
ZrCoNiPt2
1.0
4.623 0.000 0.000
0.000 4.623 0.000
0.000 0.000 4.126
Zr Co Ni Pt
1 1 1 2
direct
0.000 0.000 0.000
0.500 0.500 0.000
0.500 0.500 0.500
0.000 0.500 0.500
0.500 0.000 0.500
```

Magnetic moment, μB per formula unit: 2.03
Energy of formation, eV per atom: 0.34

=====

3.
Pu2CoNi | PBE-GGA | optimized geometry

Structure (POSCAR):
```
Pu2CoNi
1.0
3.573 0.000 0.000
0.000 3.573 0.000
0.000 0.000 4.464
Pu Co Ni
2 1 1
direct
0.000 0.500 0.000
0.500 0.000 0.000
0.000 0.000 0.500
0.500 0.500 0.500
```

Magnetic moment, μB per formula unit: 0.83
Energy of formation, eV per atom: 0.40
Energy relative to the lowest polymorph listed for this composition, eV/f.u.: 1.54

=====

4.
Pu2Co15Ni2 | PBE-GGA | optimized geometry

Structure (POSCAR):
```
Pu2Co15Ni2
1.0
4.142 2.391 4.016
-4.142 2.391 4.016
0.000 -4.782 4.016
Pu Co Ni
2 15 2
direct
0.157 0.157 0.157
0.843 0.843 0.843
0.000 0.500 0.500
0.152 0.152 0.650
0.152 0.650 0.152
0.210 0.500 0.790
0.210 0.790 0.500
0.350 0.848 0.848
0.500 0.000 0.500
0.500 0.210 0.790
0.500 0.500 0.000
0.500 0.790 0.210
0.650 0.152 0.152
0.790 0.210 0.500
0.790 0.500 0.210
0.848 0.350 0.848
0.848 0.848 0.350
0.400 0.400 0.400
0.600 0.600 0.600
```

Magnetic moment, μB per formula unit: 12.82
Energy of formation, eV per atom: -0.07

=====

5.
Pu3Co2Ni7 | PBE-GGA | optimized geometry

Structure (POSCAR):
```
Pu3Co2Ni7
1.0
2.462 1.421 8.167
-2.462 1.421 8.167
0.000 -2.843 8.167
Pu Co Ni
3 2 7
direct
0.000 0.000 0.000
0.142 0.142 0.142
0.858 0.858 0.858
0.333 0.333 0.333
0.667 0.667 0.667
0.081 0.582 0.582
0.418 0.418 0.919
0.418 0.919 0.418
0.500 0.500 0.500
0.582 0.081 0.582
0.582 0.582 0.081
0.919 0.418 0.418
```

Magnetic moment, μB per formula unit: 11.41
Energy of formation, eV per atom: -0.21

=====

6.
Pu2Co5Ni5 | PBE-GGA | optimized geometry

Structure (POSCAR):
```
Pu2Co5Ni5
1.0
3.994 0.000 0.000
0.000 4.853 0.000
0.000 0.000 8.386
Pu Co Ni
2 5 5
direct
0.000 0.000 0.000
0.000 0.500 0.500
0.000 0.000 0.332
0.000 0.000 0.668
0.000 0.500 0.163
0.000 0.500 0.837
0.500 0.500 0.000
0.500 0.000 0.500
0.500 0.250 0.249
0.500 0.250 0.751
0.500 0.750 0.249
0.500 0.750 0.751
```

Magnetic moment, μB per formula unit: 1.26
Energy of formation, eV per atom: -0.13

=====

> Which value of energy of formation does entry 2 give?

0.34 eV per atom

=====

> Which formula does entry 5 have?

Pu3Co2Ni7

=====

> Which value of magnetic moment does entry 6 give?

1.26 μB per formula unit